(1)
This record from the Open Quantum Materials Database describes a relaxed structure of Pm6Te5As. The functional is PBE.

Properties
Space-group type ... C2/m, No. 12
Crystal system ... monoclinic
V ... 370 Å³/cell
Total moment ... 0.02 μB per cell
Raw total energy ... -5.539 eV/atom

Cell: 7.6822 7.6822 7.6867 Å, 99.54 99.54 120.10°
Atoms (fractional coordinates):
Pm 0.0765 0.3848 0.7315
Pm 0.2279 0.2279 0.2627
Pm 0.3848 0.0765 0.7315
Pm 0.6152 0.9235 0.2685
Pm 0.7721 0.7721 0.7373
Pm 0.9235 0.6152 0.2685
Te 0.1743 0.8257 0.0000
Te 0.3348 0.6652 0.5000
Te 0.5000 0.5000 0.0000
Te 0.6652 0.3348 0.5000
Te 0.8257 0.1743 0.0000
As 0.0000 0.0000 0.5000

---

(2)
This record from the Open Quantum Materials Database describes a relaxed structure of Pm3ThAs4. The functional is PBE.

Properties
Space-group type ... Cmmm, No. 65
Crystal system ... orthorhombic
V ... 216 Å³/cell
Total moment ... 0.01 μB per cell
Raw total energy ... -6.553 eV/atom

Cell: 7.3424 7.3424 4.2474 Å, 90.00 90.00 109.46°
Atoms (fractional coordinates):
Pm 0.0000 0.0000 0.0000
Pm 0.0000 0.5000 0.5000
Pm 0.5000 0.0000 0.5000
Th 0.5000 0.5000 0.0000
As 0.2509 0.2509 0.5000
As 0.2510 0.7490 0.0000
As 0.7490 0.2510 0.0000
As 0.7491 0.7491 0.5000

---

(3)
This record from the Open Quantum Materials Database describes a relaxed structure of PmTlAs. The functional is PBE.

Properties
Space-group type ... F-43m, No. 216
Crystal system ... cubic
V ... 90 Å³/cell
Total moment ... 0.01 μB per cell
Raw total energy ... -4.048 eV/atom

Cell: 5.0281 5.0281 5.0281 Å, 60.00 60.00 60.00°
Atoms (fractional coordinates):
Pm 0.0000 0.0000 0.0000
Tl 0.7500 0.7500 0.7500
As 0.5000 0.5000 0.5000